[1]
The following is a DFT calculation (PBE-GGA) of LiNd2SnN after structural relaxation.

Lattice parameters (Å, degrees): 5.0322 5.0322 4.3773 90.00 90.00 90.00
Closest atoms and distances in Å follow each position.
Space group P4/mmm (No. 123)
Asymmetric unit:
Li1 0.0000 0.0000 0.0000 x1  2 N 2.19
Nd1 0.0000 0.5000 0.5000 x2  2 N 2.52
Sn1 0.5000 0.5000 0.0000 x1  8 Nd 3.33, 4 Li 3.56
N1 0.0000 0.0000 0.5000 x1  2 Li 2.19

Computed properties:
The raw formation energy comes out at -0.88 eV/atom. The density of states at the Fermi level comes out at 0.23 states/eV/atom.

[2]
The following is a DFT calculation (PBE-GGA) of Mg2TcBr after structural relaxation.

Lattice parameters (Å, degrees): 10.5732 3.2631 4.9493 90.00 117.82 90.00
Closest atoms and distances in Å follow each position.
Space group C2/m (No. 12)
Asymmetric unit:
Mg1 0.2481 0.0000 0.2478 x4  2 Br 2.84, 2 Tc 2.87, 4 Mg 2.96-2.97
Tc1 0.0000 0.0000 0.5000 x2  4 Mg 2.87, 4 Br 2.96
Br1 0.0000 0.5000 0.0000 x2  4 Mg 2.84, 4 Tc 2.96

Computed properties:
The raw formation energy comes out at 0.39 eV/atom. The density of states at the Fermi level comes out at 0.56 states/eV/atom.

[3]
The following is a DFT calculation (PBE-GGA) of CaMg2Re after structural relaxation.

Lattice parameters (Å, degrees): 3.0239 3.0239 31.0907 90.00 90.00 120.00
Closest atoms and distances in Å follow each position.
Space group R-3m (No. 166, hexagonal axes)
Asymmetric unit:
Ca1 0.0000 0.0000 0.0000 x3  6 Ca 3.02
Mg1 0.0000 0.0000 0.2394 x6  3 Re 2.86, 6 Mg 3.02
Re1 0.0000 0.0000 0.5000 x3  6 Mg 2.86, 6 Re 3.02

Computed properties:
The value obtained for the formation energy is 515 meV per atom. The density of states at the Fermi level comes out at 0.68 states/eV/atom.

[4]
The following is a DFT calculation (PBE-GGA) of YTmPdPb after structural relaxation.

Lattice parameters (Å, degrees): 7.3294 7.3294 7.3294 90.00 90.00 90.00
Closest atoms and distances in Å follow each position.
Space group F-43m (No. 216)
Asymmetric unit:
Y1 0.0000 0.0000 0.0000 x4  4 Pb 3.17, 4 Pd 3.17
Tm1 0.0000 0.0000 0.5000 x4  4 Pd 3.17, 4 Pb 3.17
Pd1 0.2500 0.2500 0.2500 x4  4 Tm 3.17, 4 Y 3.17
Pb1 0.2500 0.2500 0.7500 x4  4 Tm 3.17, 4 Y 3.17

Computed properties:
The value obtained for the formation energy is -626 meV per atom. The density of states at the Fermi level comes out at 0.49 states/eV/atom.

[5]
The following is a DFT calculation (PBE-GGA) of CsGaHg2Pb after structural relaxation.

Lattice parameters (Å, degrees): 5.7326 5.7326 5.6093 90.00 90.00 90.00
Closest atoms and distances in Å follow each position.
Space group P4/mmm (No. 123)
Asymmetric unit:
Cs1 0.0000 0.0000 0.0000 x1  8 Hg 4.01, 4 Pb 4.05
Ga1 0.5000 0.5000 0.5000 x1  2 Pb 2.80, 4 Hg 2.87
Hg1 0.0000 0.5000 0.5000 x2  2 Ga 2.87
Pb1 0.5000 0.5000 0.0000 x1  2 Ga 2.80

Computed properties:
The value obtained for the formation energy is -6 meV per atom. The density of states at the Fermi level comes out at 0.74 states/eV/atom.

[6]
The following is a DFT calculation (PBE-GGA) of TbPmInSn after structural relaxation.

Lattice parameters (Å, degrees): 4.3631 4.6174 11.6006 90.00 90.00 90.00
Closest atoms and distances in Å follow each position.
Space group Amm2 (No. 38)
Asymmetric unit:
Tb1 0.0000 0.0000 0.0000 x2  3 In 3.21-3.47, 4 Sn 3.23
Pm1 0.5000 0.0000 0.2736 x2  3 Sn 3.21-3.47, 4 In 3.23
In1 0.0000 0.0000 0.7231 x2  2 Sn 2.96, 1 Tb 3.21, 4 Pm 3.23
Sn1 0.5000 0.0000 0.5502 x2  2 In 2.96, 1 Pm 3.21, 4 Tb 3.23

Computed properties:
The value obtained for the formation energy is -627 meV per atom. The density of states at the Fermi level comes out at 0.95 states/eV/atom.

[7]
The following is a DFT calculation (PBE-GGA) of SiPAu2 after structural relaxation.

Lattice parameters (Å, degrees): 2.7063 3.5538 7.5226 90.00 91.27 90.00
Closest atoms and distances in Å follow each position.
Space group P2/m (No. 10)
Asymmetric unit:
Si1 0.0000 0.0000 0.0000 x1  4 Au 2.58, 2 Si 2.71
P1 0.0000 0.0000 0.5000 x1  4 Au 2.59, 2 P 2.71
Au1 0.0073 0.5000 0.7507 x2  2 Si 2.58, 2 P 2.59, 2 Au 2.71

Computed properties:
The raw formation energy comes out at 0.22 eV/atom. The density of states at the Fermi level comes out at 0.34 states/eV/atom.

[8]
The following is a DFT calculation (PBE-GGA) of KUTe after structural relaxation.

Lattice parameters (Å, degrees): 4.3217 5.4352 19.6573 90.00 90.00 90.00
Closest atoms and distances in Å follow each position.
Space group Immm (No. 71)
Asymmetric unit:
K1 0.0000 0.0000 0.1750 x4  5 Te 3.54-3.64
U1 0.0000 0.2544 0.5000 x4  2 U 2.67-2.77
Te1 0.0000 0.0000 0.3600 x4  2 U 3.08

Computed properties:
The raw formation energy comes out at -0.14 eV/atom. The density of states at the Fermi level comes out at 1.19 states/eV/atom.

no.,VASP energy (eV per atom),total magnetization (Bohr magnetons per cell)
1,-5.64,0.0
2,-3.42,3.0
3,-3.89,0.0
4,-5.58,0.0
5,-1.64,0.0
6,-4.66,0.0
7,-4.13,0.0
8,-5.32,16.3